Ho2Si4Os3 (PBE, relaxed); calculated density = 11.4 Mg/m³; DFT total energy = -140.4 eV/cell; excess energy over the best structure of this formula in the dataset = 0.0 meV/atom; formation energy from raw total energies = -5.68 eV/f.u.; crystal system = orthorhombic
1.0
0.170 4.900 -2.996
4.740 -2.800 -4.311
-5.466 -4.906 -2.824
Os Si Ho
6 8 4
direct
0.022 0.750 0.545
0.478 0.250 0.455
0.978 0.250 0.455
0.500 0.500 0.000
0.000 0.000 0.000
0.522 0.750 0.545
0.678 0.522 0.356
0.311 0.250 0.123
0.178 0.978 0.356
0.189 0.750 0.877
0.689 0.750 0.877
0.322 0.478 0.644
0.822 0.022 0.644
0.811 0.250 0.123
0.889 0.407 0.779
0.389 0.093 0.779
0.611 0.907 0.221
0.111 0.593 0.221

TcOs4Pb (PBE, relaxed); calculated formation energy = 0.9975 eV per atom; calculated density = 17.6 Mg/m³; DFT total energy = -53.0 eV/cell; crystal system = cubic
1.0
-3.221 0.592 4.069
-4.142 3.158 -0.386
-4.815 -2.017 -0.166
Pb Os Tc
1 4 1
direct
0.750 0.750 0.750
0.374 0.877 0.374
0.374 0.374 0.877
0.877 0.374 0.374
0.374 0.374 0.374
0.000 0.000 0.000